# Pm2Zn5Pd PBE optimized geometry
data_Pm2Zn5Pd
_chemical_formula_sum 'Pm2 Zn5 Pd1'
_space_group_name_H-M_alt 'P 1'
_space_group_IT_number 1
_space_group_name_Hall 'P 1'
_cell_length_a 7.665
_cell_length_b 7.665
_cell_length_c 7.665
_cell_angle_alpha 144.16
_cell_angle_beta 144.16
_cell_angle_gamma 51.58
loop_
_atom_site_label
_atom_site_fract_x
_atom_site_fract_y
_atom_site_fract_z
Pm1 0.249 0.249 0.000
Pm2 0.751 0.751 0.000
Zn1 0.098 0.598 0.500
Zn2 0.402 0.902 0.500
Zn3 0.500 0.500 0.000
Zn4 0.598 0.098 0.500
Zn5 0.902 0.402 0.500
Pd1 0.000 0.000 0.000
# - E: -2.903 eV/atom
# - Energy above the lowest structure with this stoichiometry: 0.162 eV/atom